1.
Entry from Alexandria: TbCe2Sm3P6 after structural relaxation (PBE-GGA).

Results
The value obtained for the density of states at the Fermi level is 9.79 states/eV/f.u. The total energy is -163.75 eV/cell. Its calculated formation energy is -18.8 eV per formula unit.

```
data_TbCe2Sm3P6
_symmetry_space_group_name_H-M 'C 1 2/m 1'
_symmetry_Int_Tables_number 12
_cell_length_a 7.072
_cell_length_b 12.249
_cell_length_c 7.075
_cell_angle_alpha 90.00
_cell_angle_beta 109.46
_cell_angle_gamma 90.00
loop_
_symmetry_equiv_pos_as_xyz
'x,y,z'
'-x,-y,-z'
'-x,y,-z'
'x,-y,z'
'x+1/2,y+1/2,z'
'-x+1/2,-y+1/2,-z'
'-x+1/2,y+1/2,-z'
'x+1/2,-y+1/2,z'
loop_
_atom_site_label
_atom_site_fract_x
_atom_site_fract_y
_atom_site_fract_z
_atom_site_occupancy
Tb1 0.000 0.000 0.000 1
Ce1 0.000 0.333 0.000 1
Sm1 0.000 0.167 0.500 1
Sm2 0.000 0.500 0.500 1
P1 0.248 0.167 0.245 1
P2 0.248 0.500 0.246 1
```

=====

2.
Entry from Alexandria: Tb2CeSmP4 after structural relaxation (PBE-GGA).

Results
The value obtained for the density of states at the Fermi level is 5.36 states/eV/f.u. The total energy is -54.19 eV/cell. Its calculated formation energy is -12.6 eV per formula unit.

```
data_Tb2CeSmP4
_symmetry_space_group_name_H-M 'P 1 2/m 1'
_symmetry_Int_Tables_number 10
_cell_length_a 7.025
_cell_length_b 4.062
_cell_length_c 7.033
_cell_angle_alpha 90.00
_cell_angle_beta 109.41
_cell_angle_gamma 90.00
loop_
_symmetry_equiv_pos_as_xyz
'x,y,z'
'-x,-y,-z'
'-x,y,-z'
'x,-y,z'
loop_
_atom_site_label
_atom_site_fract_x
_atom_site_fract_y
_atom_site_fract_z
_atom_site_occupancy
Tb1 0.000 0.000 0.000 1
Tb2 0.000 0.500 0.500 1
Ce1 0.500 0.000 0.500 1
Sm1 0.500 0.500 0.000 1
P1 0.247 0.000 0.746 1
P2 0.248 0.500 0.251 1
```